# 1
This record from Alexandria describes a relaxed HSeF2 crystal. The functional is PBE-GGA.

SG	P1
E_tot	-3.93	eV/atom
density of states at the Fermi level	0.0	states/eV per cell

Cell: 3.4688 6.3892 6.0637 Å, 77.28 75.41 81.67°
Sites, in units of the cell vectors:
H: 0.9145 0.4518 0.4703
H: 0.8571 0.6349 0.7458
Se: 0.6674 0.2116 0.0875
Se: 0.2926 0.0053 0.9394
F: 0.9976 0.4541 0.2991
F: 0.7982 0.4598 0.7097
F: 0.5784 0.0583 0.3787
F: 0.9046 0.7865 0.7796


# 2
This record from Alexandria describes a relaxed HSe2F crystal. The functional is PBE-GGA.

SG	P1
E_tot	-3.51	eV/atom
density of states at the Fermi level	0.0	states/eV per cell

Cell: 4.1798 6.7138 7.5322 Å, 119.30 102.36 92.75°
Sites, in units of the cell vectors:
H: 0.0115 0.2855 0.7958
H: 0.5134 0.4278 0.7729
Se: 0.0581 0.5097 0.2287
Se: 0.7926 0.1762 0.8729
Se: 0.2874 0.6053 0.8066
Se: 0.4250 0.7582 0.1723
F: 0.3870 0.3694 0.3109
F: 0.6085 0.9109 0.5659


# 3
This record from Alexandria describes a relaxed H3SeF crystal. The functional is PBE-GGA.

SG	Pm-3m
E_tot	-3.11	eV/atom
density of states at the Fermi level	0.3	states/eV per cell

Cell: 3.4726 3.4726 3.4726 Å, 90.00 90.00 90.00°
Sites, in units of the cell vectors:
H: 0.0000 0.5000 0.0000
H: 0.0000 0.0000 0.5000
H: 0.5000 0.0000 0.0000
Se: 0.0000 0.0000 0.0000
F: 0.5000 0.5000 0.5000


# 4
This record from Alexandria describes a relaxed HSe2F crystal. The functional is PBE-GGA.

SG	P1
E_tot	-3.68	eV/atom

Cell: 3.7162 3.7143 6.2572 Å, 82.32 80.12 88.55°
Sites, in units of the cell vectors:
H: 0.2722 0.3998 0.2912
Se: 0.0833 0.2454 0.7146
Se: 0.6939 0.8496 0.5900
F: 0.3896 0.5187 0.1543


# 5
This record from Alexandria describes a relaxed HSe2F crystal. The functional is PBE-GGA.

SG	R-3m
E_tot	-3.03	eV/atom
density of states at the Fermi level	2.0	states/eV per cell

Cell: 7.7681 7.7681 7.7681 Å, 21.79 21.79 21.79°
Sites, in units of the cell vectors:
H: 0.0000 0.0000 0.0000
Se: 0.9215 0.9215 0.9215
Se: 0.0785 0.0785 0.0785
F: 0.5000 0.5000 0.5000


# 6
This record from Alexandria describes a relaxed HSeF2 crystal. The functional is PBE-GGA.

SG	Fm-3m
E_tot	-2.44	eV/atom
density of states at the Fermi level	3.0	states/eV per cell

Cell: 4.0140 4.0140 4.0140 Å, 60.00 60.00 60.00°
Sites, in units of the cell vectors:
H: 0.0000 0.0000 0.0000
Se: 0.5000 0.5000 0.5000
F: 0.2500 0.2500 0.2500
F: 0.7500 0.7500 0.7500


# 7
This record from Alexandria describes a relaxed HSeF2 crystal. The functional is PBE-GGA.

SG	P1
E_tot	-3.92	eV/atom
density of states at the Fermi level	0.0	states/eV per cell

Cell: 3.4440 5.8759 6.6573 Å, 80.26 80.31 89.76°
Sites, in units of the cell vectors:
H: 0.4118 0.3813 0.6376
H: 0.7051 0.6891 0.5821
Se: 0.4118 0.0866 0.2742
Se: 0.9556 0.3519 0.1177
F: 0.2821 0.2490 0.5935
F: 0.5689 0.5650 0.7085
F: 0.4731 0.9111 0.0758
F: 0.8541 0.8282 0.4209


# 8
This record from Alexandria describes a relaxed HSeF2 crystal. The functional is PBE-GGA.

SG	R-3m
E_tot	-3.47	eV/atom
density of states at the Fermi level	1.7	states/eV per cell

Cell: 6.5250 6.5250 6.5250 Å, 25.86 25.86 25.86°
Sites, in units of the cell vectors:
H: 0.0000 0.0000 0.0000
Se: 0.5000 0.5000 0.5000
F: 0.9392 0.9392 0.9392
F: 0.0608 0.0608 0.0608


# 9
This record from Alexandria describes a relaxed HSe2F crystal. The functional is PBE-GGA.

SG	P1
E_tot	-3.77	eV/atom
density of states at the Fermi level	0.3	states/eV per cell

Cell: 3.6526 3.7354 12.6385 Å, 91.81 97.62 90.01°
Sites, in units of the cell vectors:
H: 0.1761 0.5344 0.9949
H: 0.1358 0.0354 0.0012
Se: 0.8314 0.8083 0.6414
Se: 0.6149 0.3064 0.2986
Se: 0.2993 0.2436 0.7013
Se: 0.2013 0.7409 0.3586
F: 0.9967 0.2632 0.0234
F: 0.3146 0.7579 0.9727


# 10
This record from Alexandria describes a relaxed HSe2F crystal. The functional is PBE-GGA.

SG	P1
E_tot	-3.74	eV/atom
density of states at the Fermi level	0.5	states/eV per cell

Cell: 2.7123 5.0292 7.0689 Å, 73.19 89.62 90.03°
Sites, in units of the cell vectors:
H: 0.6708 0.6047 0.8255
Se: 0.5260 0.9723 0.2364
Se: 0.5229 0.3456 0.3782
F: 0.0170 0.6384 0.8097


# 11
This record from Alexandria describes a relaxed HSeF2 crystal. The functional is PBE-GGA.

SG	R-3m
E_tot	-3.03	eV/atom
density of states at the Fermi level	0.9	states/eV per cell

Cell: 6.2197 6.2197 6.2197 Å, 27.05 27.05 27.05°
Sites, in units of the cell vectors:
H: 0.5000 0.5000 0.5000
Se: 0.0000 0.0000 0.0000
F: 0.8868 0.8868 0.8868
F: 0.1132 0.1132 0.1132


# 12
This record from Alexandria describes a relaxed HSeF4 crystal. The functional is PBE-GGA.

SG	Pmn2_1
E_tot	-3.76	eV/atom

Cell: 5.4914 5.2804 6.3197 Å, 90.00 90.00 90.00°
Sites, in units of the cell vectors:
H: 0.5747 0.4661 0.0000
H: 0.0747 0.5339 0.5000
Se: 0.0403 0.8093 0.0000
Se: 0.5403 0.1907 0.5000
F: 0.3576 0.6324 0.0000
F: 0.7277 0.3705 0.0000
F: 0.3358 0.1351 0.7179
F: 0.8358 0.8649 0.7821
F: 0.2277 0.6295 0.5000
F: 0.8576 0.3676 0.5000
F: 0.8358 0.8649 0.2179
F: 0.3358 0.1351 0.2821


# 13
This record from Alexandria describes a relaxed HSeF2 crystal. The functional is PBE-GGA.

SG	I-42d
E_tot	-3.13	eV/atom
density of states at the Fermi level	1.0	states/eV per cell

Cell: 4.7152 4.7152 4.8664 Å, 61.02 61.02 90.00°
Sites, in units of the cell vectors:
H: 0.5000 0.5000 0.0000
H: 0.2500 0.7500 0.5000
Se: 0.0000 0.0000 0.0000
Se: 0.7500 0.2500 0.5000
F: 0.4225 0.1250 0.2500
F: 0.3275 0.6250 0.2500
F: 0.3750 0.5775 0.7500
F: 0.8750 0.6725 0.7500


# 14
This record from Alexandria describes a relaxed H3SeF crystal. The functional is PBE-GGA.

SG	R3m
E_tot	-3.63	eV/atom
density of states at the Fermi level	0.0	states/eV per cell

Cell: 7.3641 7.3641 7.3641 Å, 37.63 37.63 37.63°
Sites, in units of the cell vectors:
H: 0.8993 0.8993 0.3905
H: 0.3905 0.8993 0.8993
H: 0.8993 0.3905 0.8993
H: 0.3993 0.8905 0.3993
H: 0.8905 0.3993 0.3993
H: 0.3993 0.3993 0.8905
Se: 0.0240 0.0240 0.0240
Se: 0.5240 0.5240 0.5240
F: 0.7585 0.7585 0.7585
F: 0.2585 0.2585 0.2585


# 15
This record from Alexandria describes a relaxed HSe2F crystal. The functional is PBE-GGA.

SG	P1
E_tot	-3.57	eV/atom
density of states at the Fermi level	1.7	states/eV per cell

Cell: 3.8165 5.6067 8.6009 Å, 75.54 89.62 71.25°
Sites, in units of the cell vectors:
H: 0.1648 0.6816 0.1038
H: 0.9713 0.2900 0.3007
Se: 0.8027 0.7273 0.4532
Se: 0.2386 0.4052 0.3551
Se: 0.4664 0.1612 0.8331
Se: 0.8461 0.4594 0.7580
F: 0.7377 0.0074 0.2504
F: 0.1629 0.7508 0.9887


# 16
This record from Alexandria describes a relaxed TlSiHSeF crystal. The functional is PBE-GGA.

SG	P1
E_tot	-4.03	eV/atom
density of states at the Fermi level	0.8	states/eV per cell

Cell: 4.7936 5.0033 5.9950 Å, 78.84 65.95 84.57°
Sites, in units of the cell vectors:
Tl: 0.7865 0.2990 0.7933
Si: 0.5430 0.9534 0.5813
H: 0.8010 0.7810 0.4309
Se: 0.1523 0.7118 0.8730
F: 0.4501 0.1527 0.3647


# 17
This record from Alexandria describes a relaxed TlSiHSeF crystal. The functional is PBE-GGA.

SG	Cm
E_tot	-3.99	eV/atom
density of states at the Fermi level	2.5	states/eV per cell

Cell: 6.0791 3.4692 11.3740 Å, 90.00 112.66 90.00°
Sites, in units of the cell vectors:
Tl: 0.3756 0.0000 0.8370
Tl: 0.3756 0.5000 0.3370
Si: 0.9250 0.0000 0.4627
Si: 0.9250 0.5000 0.9627
H: 0.8760 0.0000 0.9825
H: 0.8760 0.5000 0.4825
Se: 0.9186 0.0000 0.2608
Se: 0.9186 0.5000 0.7608
F: 0.2151 0.0000 0.5612
F: 0.2151 0.5000 0.0612


# 18
This record from Alexandria describes a relaxed TlSiHSeF crystal. The functional is PBE-GGA.

SG	Pm
E_tot	-4.11	eV/atom
density of states at the Fermi level	0.8	states/eV per cell

Cell: 4.9610 4.5942 5.2330 Å, 90.00 96.77 90.00°
Sites, in units of the cell vectors:
Tl: 0.8165 0.0000 0.9954
Si: 0.4227 0.5000 0.5312
H: 0.6937 0.5000 0.7073
Se: 0.2531 0.0000 0.5637
F: 0.5468 0.5000 0.2454


# 19
This record from Alexandria describes a relaxed TlSiHSeF crystal. The functional is PBE-GGA.

SG	P1
E_tot	-3.93	eV/atom
density of states at the Fermi level	0.5	states/eV per cell

Cell: 4.8921 4.9730 5.9198 Å, 105.27 107.91 107.91°
Sites, in units of the cell vectors:
Tl: 0.2521 0.8771 0.5037
Si: 0.7266 0.3732 0.4805
H: 0.5243 0.5240 0.9157
Se: 0.7807 0.7397 0.8800
F: 0.4490 0.4270 0.2633


# 20
This record from Alexandria describes a relaxed TlSiHSeF crystal. The functional is PBE-GGA.

SG	Cm
E_tot	-4.12	eV/atom
density of states at the Fermi level	0.5	states/eV per cell

Cell: 6.0221 4.5270 8.9076 Å, 90.00 108.01 90.00°
Sites, in units of the cell vectors:
Tl: 0.9690 0.0000 0.4171
Tl: 0.9690 0.5000 0.9171
Si: 0.4481 0.0000 0.7260
Si: 0.4481 0.5000 0.2260
H: 0.5819 0.0000 0.9002
H: 0.5819 0.5000 0.4002
Se: 0.2855 0.0000 0.1707
Se: 0.2855 0.5000 0.6707
F: 0.6723 0.0000 0.6525
F: 0.6723 0.5000 0.1525